DFT (PBE-GGA) results for a relaxed BaTm2Se4 crystal.

a = 12.7331 Å, b = 4.1614 Å, c = 15.0411 Å
α = 90.00°, β = 90.00°, γ = 90.00°
Fractional coordinates of all 28 atoms:
Ba 0.2402 0.2500 0.1653
Ba 0.2598 0.7500 0.6653
Ba 0.7402 0.2500 0.3347
Ba 0.7598 0.7500 0.8347
Tm 0.0632 0.2500 0.3912
Tm 0.0791 0.2500 0.9005
Tm 0.4209 0.7500 0.4005
Tm 0.4368 0.7500 0.8912
Tm 0.5632 0.2500 0.1088
Tm 0.5791 0.2500 0.5995
Tm 0.9209 0.7500 0.0995
Tm 0.9368 0.7500 0.6088
Se 0.0248 0.7500 0.7834
Se 0.0846 0.2500 0.5763
Se 0.1246 0.7500 0.0246
Se 0.2060 0.7500 0.3402
Se 0.2940 0.2500 0.8402
Se 0.3754 0.2500 0.5246
Se 0.4154 0.7500 0.0763
Se 0.4752 0.2500 0.2834
Se 0.5248 0.7500 0.7166
Se 0.5846 0.2500 0.9237
Se 0.6246 0.7500 0.4754
Se 0.7060 0.7500 0.1598
Se 0.7940 0.2500 0.6598
Se 0.8754 0.2500 0.9754
Se 0.9154 0.7500 0.4237
Se 0.9752 0.2500 0.2166

Calculated values
Its total energy is -154.3 eV/cell. For the volume, the calculation gives 199.25 Å³/f.u.